(1)
Computed, not measured: a relaxed structure of PuZn2Au4 at the PBE level of DFT.

Results
* calculated formation energy: -0.296 eV/atom

Cell: 17.4424 4.5369 7.0013 Å, 90.00 90.00 90.00°
With the nearest neighbours (Å) after each atom.
Space group Pnma (No. 62)
One atom of each set of equivalent atoms:
Pu1 0.1438 0.2500 0.0336  10 Au 3.14-3.29, 4 Zn 3.34-3.39
Zn1 0.0357 0.7500 0.2560  7 Au 2.66-2.74
Zn2 0.2115 0.2500 0.5430  7 Au 2.63-2.75
Au1 0.0360 0.7500 0.8729  3 Zn 2.68-2.74, 2 Au 2.86-2.91
Au2 0.0645 0.2500 0.4582  4 Zn 2.63-2.72, 1 Au 2.91
Au3 0.1866 0.7500 0.3293  4 Zn 2.68-2.75, 1 Au 2.93
Au4 0.1918 0.7500 0.7473  3 Zn 2.67-2.70, 2 Au 2.86-2.93

(2)
Computed, not measured: a relaxed structure of PuZnAu4 at the PBE level of DFT.

Results
* calculated formation energy: -0.197 eV/atom

Cell: 7.8882 7.8882 7.8882 Å, 90.00 90.00 90.00°
With the nearest neighbours (Å) after each atom.
Space group F-43m (No. 216)
One atom of each set of equivalent atoms:
Pu1 0.0000 0.0000 0.0000  12 Au 3.27, 4 Zn 3.42
Zn1 0.2500 0.2500 0.2500  12 Au 3.27, 4 Pu 3.42
Au1 0.1246 0.1246 0.6246  6 Au 2.78-2.80

(3)
Computed, not measured: a relaxed structure of PuZn4Au2 at the PBE level of DFT.

Results
* calculated formation energy: -0.216 eV/atom

Cell: 4.6550 17.7284 3.0656 Å, 90.00 90.00 90.00°
With the nearest neighbours (Å) after each atom.
Space group Cmmm (No. 65)
One atom of each set of equivalent atoms:
Pu1 0.0000 0.0000 0.0000  2 Pu 3.07, 8 Au 3.15, 4 Zn 3.31
Zn1 0.0000 0.1654 0.5000  6 Zn 2.71-2.89, 2 Au 2.75
Zn2 0.0000 0.2914 0.0000  2 Au 2.70, 8 Zn 2.71-2.89
Au1 0.0000 0.4169 0.5000  4 Zn 2.70-2.75, 1 Au 2.95

(4)
Computed, not measured: a relaxed structure of Pu2Zn2Au at the PBE level of DFT.

Results
* calculated formation energy: -0.230 eV/atom

Cell: 10.2526 4.8204 8.5844 Å, 90.00 102.32 90.00°
With the nearest neighbours (Å) after each atom.
Space group C2/m (No. 12)
One atom of each set of equivalent atoms:
Pu1 0.0600 0.0000 0.3579  2 Pu 2.96-3.06, 7 Zn 3.04-3.16, 4 Au 3.13-3.19
Pu2 0.1752 0.0000 0.0570  3 Pu 3.06-3.12, 6 Zn 3.13-3.26, 3 Au 3.18-3.33
Zn1 0.0125 0.5000 0.8596  2 Zn 2.48-2.75, 1 Au 2.74
Zn2 0.1261 0.5000 0.5969  2 Zn 2.75-2.76, 3 Au 2.78-3.06
Au1 0.2485 0.5000 0.3016  4 Zn 2.74-3.06

(5)
Computed, not measured: a relaxed structure of Pu5Zn2Au5 at the PBE level of DFT.

Results
* calculated formation energy: -0.320 eV/atom

Cell: 15.2221 4.6035 9.5536 Å, 90.00 126.81 90.00°
With the nearest neighbours (Å) after each atom.
Space group C2/m (No. 12)
One atom of each set of equivalent atoms:
Pu1 0.0000 0.0000 0.0000  4 Zn 3.04, 6 Au 3.07-3.18, 2 Pu 3.15
Pu2 0.1054 0.0000 0.7993  3 Zn 3.11-3.21, 7 Au 3.14-3.25, 2 Pu 3.15-3.46
Pu3 0.1810 0.0000 0.5227  5 Au 3.11-3.20, 1 Zn 3.13, 3 Pu 3.32-3.46
Zn1 0.1516 0.5000 0.0696  4 Au 2.68-2.87
Au1 0.0000 0.5000 0.5000  4 Au 2.95-2.98, 4 Pu 3.25
Au2 0.0569 0.5000 0.2538  2 Zn 2.80-2.87, 1 Au 2.95, 4 Pu 3.07-3.11
Au3 0.2402 0.5000 0.7862  2 Zn 2.68, 1 Au 2.98

(6)
Computed, not measured: a relaxed structure of PuZnAu3 at the PBE level of DFT.

Results
* calculated formation energy: -0.320 eV/atom

Cell: 5.6514 12.9361 5.6454 Å, 90.00 90.00 90.00°
With the nearest neighbours (Å) after each atom.
Space group Pnma (No. 62)
One atom of each set of equivalent atoms:
Pu1 0.0000 0.0000 0.0000  10 Au 3.09-3.43
Zn1 0.1937 0.2500 0.1863  6 Au 2.65-2.75, 2 Zn 2.92
Au1 0.0050 0.6079 0.5121  2 Zn 2.69-2.75, 3 Au 2.79-2.91
Au2 0.1383 0.7500 0.1440  2 Zn 2.65-2.75, 4 Au 2.88-2.91

(7)
Computed, not measured: a relaxed structure of PuZn4Au2 at the PBE level of DFT.

Results
* calculated formation energy: -0.266 eV/atom

Cell: 7.7393 7.7393 4.3495 Å, 90.00 90.00 90.00°
With the nearest neighbours (Å) after each atom.
Space group P4_2/mnm (No. 136)
One atom of each set of equivalent atoms:
Pu1 0.0000 0.0000 0.0000  6 Au 3.15-3.18, 4 Zn 3.34
Zn1 0.0952 0.3495 0.5000  3 Au 2.60-2.68, 2 Zn 2.76-2.78
Au1 0.2118 0.7882 0.5000  6 Zn 2.60-2.68

(8)
Computed, not measured: a relaxed structure of PuZn2Au4 at the PBE level of DFT.

Results
* calculated formation energy: -0.354 eV/atom

Cell: 8.8511 7.0320 5.3673 Å, 90.00 127.18 90.00°
With the nearest neighbours (Å) after each atom.
Space group C2/m (No. 12)
One atom of each set of equivalent atoms:
Pu1 0.0000 0.0000 0.0000  12 Au 2.99-3.34
Zn1 0.9996 0.5000 0.2494  2 Zn 2.68-2.69, 8 Au 2.87-2.88
Au1 0.1993 0.1997 0.6995  4 Au 2.81-2.87, 4 Zn 2.87-2.88, 1 Pu 2.99

> The highest calculated formation energy belongs to which entry?

PuZnAu4

> The lowest calculated formation energy belongs to which entry?

number 8

Please write out number 2 again, unchanged.
Computed, not measured: a relaxed structure of PuZnAu4 at the PBE level of DFT.

Results
* calculated formation energy: -0.197 eV/atom

Cell: 7.8882 7.8882 7.8882 Å, 90.00 90.00 90.00°
With the nearest neighbours (Å) after each atom.
Space group F-43m (No. 216)
One atom of each set of equivalent atoms:
Pu1 0.0000 0.0000 0.0000  12 Au 3.27, 4 Zn 3.42
Zn1 0.2500 0.2500 0.2500  12 Au 3.27, 4 Pu 3.42
Au1 0.1246 0.1246 0.6246  6 Au 2.78-2.80